[1]
## KMo3 (PBE)

Data for a geometry-optimized KMo3 structure.

The structure in POSCAR format:
```
KMo3
1.0
-0.8761 -3.5605 2.2605
2.5145 -1.0973 -0.7538
3.9821 2.8336 6.0065
K Mo
1 3
direct
0.0000 0.0000 0.0000
0.5000 0.8195 0.6448
0.0000 0.5000 0.5000
0.5000 0.1805 0.3552
```

energy relative to the elements = 3.5 eV per formula unit
space-group type = P2/m
M_tot = 0.00 μB/cell

=====

[2]
## Ho2Sc3Tl4 (PBE)

Data for a geometry-optimized Ho2Sc3Tl4 structure.

The structure in POSCAR format:
```
Ho2Sc3Tl4
1.0
6.7769 0.0000 0.0000
0.0000 8.7530 0.0000
-3.3884 0.0000 7.9856
Ho Sc Tl
4 6 8
direct
0.1136 0.5772 0.2272
0.8864 0.4228 0.7728
0.3864 0.0772 0.7728
0.6136 0.9228 0.2272
0.0000 0.0000 0.0000
0.5000 0.5000 0.0000
0.5380 0.7500 0.5759
0.9620 0.2500 0.4241
0.4620 0.2500 0.4241
0.0380 0.7500 0.5759
0.7193 0.7500 0.9386
0.7807 0.2500 0.0614
0.2807 0.2500 0.0614
0.2193 0.7500 0.9386
0.1862 0.9539 0.3724
0.8138 0.0461 0.6276
0.3138 0.4539 0.6276
0.6862 0.5461 0.3724
```

energy relative to the elements = -1.8 eV per formula unit
space-group type = Cmce
M_tot = 0.00 μB/cell

=====

> What is the M_tot in the first record?

0.00 μB/cell

=====

> Number 1 is which compound?

KMo3